Density functional theory data (PBE) for Cs3PtS2 after structural relaxation.

## Properties
- E_tot (eV for the cell shown) = -43.374
- formation energy from raw total energies (eV/f.u.) = -4.83
- size of the total moment (μB per cell) = 2.1

Unit cell a=8.4469 b=9.7728 c=5.8342 alpha=90.00 beta=90.00 gamma=90.00
Space group Pnnm (No. 58)
Unique sites:
Cs 0.0000 0.0000 0.0000 x2
Cs 0.0782 0.2839 0.5000 x4
Pt 0.0000 0.5000 0.0000 x2
S 0.2439 0.9342 0.5000 x4